DFT (GGA+U) results for a geometry-optimized AgWO4 structure.

The calculation puts the volume at 366.7 Å³/cell. As for the uncorrected energy: -6.22 eV/atom.

The space group is C2/c (No. 15) and the conventional cell measures 12.562, 5.225 and 5.603 Å, with angles of 90.00, 94.36 and 90.00 degrees. Symmetry generates all atoms from Ag at (0.000, 0.149, 0.250), W at (0.250, 0.250, 0.000), O at (0.101, 0.157, 0.976) and O at (0.222, 0.497, 0.740).